Compound: AgSb2CI
Source: the Alexandria database
Functional: PBE
Structure: relaxed

a b c (Å): 5.396 5.396 5.626
angles (deg): 90.00 90.00 90.00
Site moments in Bohr magnetons follow the coordinates.
Fractional positions:
I1 0.000 0.000 0.500  0.07
Sb1 0.000 0.500 0.000  -0.14
Sb2 0.500 0.000 0.000  -0.14
C1 0.500 0.500 0.500  0.90
Ag1 0.000 0.000 0.000  -0.01

Computed properties:
- space group = P4/mmm, No. 123
- ΔE to the lowest computed polymorph (eV/atom) = 0.799
- energy relative to the elements, uncorrected (eV/atom) = 1.916
- total magnetization (μB per formula unit) = 1.33

---

Compound: AgSb2CI
Source: the Alexandria database
Functional: PBE
Structure: relaxed

a b c (Å): 4.793 4.793 5.073
angles (deg): 90.00 90.00 90.00
Fractional positions:
I1 0.000 0.000 0.500
Sb1 0.000 0.500 0.000
Sb2 0.500 0.000 0.000
C1 0.000 0.000 0.000
Ag1 0.500 0.500 0.500

Computed properties:
- space group = P4/mmm, No. 123
- ΔE to the lowest computed polymorph (eV/atom) = 0.000
- energy relative to the elements, uncorrected (eV/atom) = 1.117
- total magnetization (μB per formula unit) = 0.00

---

Compound: SrAgCI2
Source: the Alexandria database
Functional: PBE
Structure: relaxed

a b c (Å): 6.415 5.093 6.415
angles (deg): 90.00 90.00 90.00
Site moments in Bohr magnetons follow the coordinates.
Fractional positions:
I1 0.000 0.000 0.500  0.04
I2 0.500 0.000 0.000  0.04
Sr1 0.000 0.000 0.000  0.13
C1 0.000 0.500 0.000  1.20
Ag1 0.500 0.500 0.500  0.01

Computed properties:
- space group = P4/mmm, No. 123
- energy relative to the elements, uncorrected (eV/atom) = 0.740
- total magnetization (μB per formula unit) = 2.96

---

Compound: AgTeCI2
Source: the Alexandria database
Functional: PBE
Structure: relaxed

a b c (Å): 5.634 5.634 5.597
angles (deg): 90.00 90.00 90.00
Site moments in Bohr magnetons follow the coordinates.
Fractional positions:
I1 0.000 0.500 0.000  -0.11
I2 0.500 0.000 0.000  -0.11
C1 0.500 0.500 0.500  0.90
Te1 0.000 0.000 0.500  -0.64
Ag1 0.000 0.000 0.000  -0.03

Computed properties:
- space group = P4/mmm, No. 123
- ΔE to the lowest computed polymorph (eV/atom) = 0.596
- energy relative to the elements, uncorrected (eV/atom) = 1.717
- total magnetization (μB per formula unit) = 0.35

---

Compound: AgTeCI2
Source: the Alexandria database
Functional: PBE
Structure: relaxed

a b c (Å): 5.238 5.238 4.691
angles (deg): 90.00 90.00 90.00
Fractional positions:
I1 0.000 0.500 0.000
I2 0.500 0.000 0.000
C1 0.000 0.000 0.000
Te1 0.000 0.000 0.500
Ag1 0.500 0.500 0.500

Computed properties:
- space group = P4/mmm, No. 123
- ΔE to the lowest computed polymorph (eV/atom) = 0.000
- energy relative to the elements, uncorrected (eV/atom) = 1.121
- total magnetization (μB per formula unit) = 0.00

---

Compound: AgTeCI2
Source: the Alexandria database
Functional: PBE
Structure: relaxed

a b c (Å): 5.948 4.022 5.948
angles (deg): 90.00 90.00 90.00
Site moments in Bohr magnetons follow the coordinates.
Fractional positions:
I1 0.000 0.000 0.500  0.04
I2 0.500 0.000 0.000  0.03
C1 0.000 0.500 0.000  0.47
Te1 0.500 0.500 0.500  -0.02
Ag1 0.000 0.000 0.000  0.01

Computed properties:
- space group = P4/mmm, No. 123
- ΔE to the lowest computed polymorph (eV/atom) = 0.209
- energy relative to the elements, uncorrected (eV/atom) = 1.330
- total magnetization (μB per formula unit) = 0.99

---

Compound: TiAg2CI
Source: the Alexandria database
Functional: PBE
Structure: relaxed

a b c (Å): 4.630 4.313 4.630
angles (deg): 90.00 90.00 90.00
Site moments in Bohr magnetons follow the coordinates.
Fractional positions:
I1 0.500 0.500 0.500  -0.01
C1 0.000 0.000 0.000  -0.06
Ag1 0.000 0.000 0.500  -0.01
Ag2 0.500 0.000 0.000  0.00
Ti1 0.000 0.500 0.000  0.81

Computed properties:
- space group = P4/mmm, No. 123
- energy relative to the elements, uncorrected (eV/atom) = 0.493
- total magnetization (μB per formula unit) = 0.91

---

Compound: InAgC
Source: the Alexandria database
Functional: PBE
Structure: relaxed

a b c (Å): 3.839 5.627 5.670
angles (deg): 90.00 90.00 110.05
Fractional positions:
C1 0.840 0.205 0.630
C2 0.518 0.561 0.130
Ag1 0.677 0.880 0.880
Ag2 0.680 0.885 0.380
In1 0.405 0.333 0.789
In2 0.953 0.432 0.289

Computed properties:
- calculated formation energy (eV/atom) = 0.893
- space group = P2_1, No. 4
- total magnetization (μB per formula unit) = 0.00

---

Compound: InAg3C
Source: the Alexandria database
Functional: PBE
Structure: relaxed

a b c (Å): 4.472 4.472 4.472
angles (deg): 90.00 90.00 90.00
Fractional positions:
C1 0.000 0.000 0.000
Ag1 0.000 0.500 0.000
Ag2 0.000 0.000 0.500
Ag3 0.500 0.000 0.000
In1 0.500 0.500 0.500

Computed properties:
- calculated formation energy (eV/atom) = 0.716
- space group = Pm-3m, No. 221
- ΔE to the lowest computed polymorph (eV/atom) = 0.000
- total magnetization (μB per formula unit) = 0.00

---

Compound: InAgC
Source: the Alexandria database
Functional: PBE
Structure: relaxed

a b c (Å): 10.269 3.448 5.700
angles (deg): 90.00 90.00 90.00
Fractional positions:
C1 0.159 0.250 0.382
C2 0.341 0.750 0.882
C3 0.841 0.750 0.618
C4 0.659 0.250 0.118
Ag1 0.940 0.250 0.841
Ag2 0.560 0.750 0.341
Ag3 0.060 0.750 0.159
Ag4 0.440 0.250 0.659
In1 0.835 0.250 0.356
In2 0.665 0.750 0.856
In3 0.165 0.750 0.644
In4 0.335 0.250 0.144

Computed properties:
- calculated formation energy (eV/atom) = 1.097
- space group = Pnma, No. 62
- total magnetization (μB per formula unit) = 0.00

---

Compound: InAgC
Source: the Alexandria database
Functional: PBE
Structure: relaxed

a b c (Å): 3.794 5.351 5.430
angles (deg): 90.00 81.76 90.00
Fractional positions:
C1 0.857 0.184 0.631
C2 0.357 0.581 0.131
Ag1 0.621 0.860 0.865
Ag2 0.121 0.905 0.365
In1 0.308 0.335 0.803
In2 0.808 0.430 0.303

Computed properties:
- calculated formation energy (eV/atom) = 0.954
- space group = Pc, No. 7
- total magnetization (μB per formula unit) = 0.00

---

Compound: InAgC
Source: the Alexandria database
Functional: PBE
Structure: relaxed

a b c (Å): 3.427 5.710 5.902
angles (deg): 96.62 84.82 77.39
Fractional positions:
C1 0.633 0.222 0.427
C2 0.732 0.037 0.272
Ag1 0.992 0.320 0.025
Ag2 0.420 0.539 0.687
In1 0.720 0.964 0.745
In2 0.333 0.730 0.221

Computed properties:
- calculated formation energy (eV/atom) = 0.692
- space group = P1, No. 1
- total magnetization (μB per formula unit) = 0.00